First-principles (GGA-PBE) data for a relaxed CrCu2Au crystal, as listed in Alexandria.

```
4
Lattice="-1.921 1.927 3.883 1.921 -1.927 3.883 1.921 1.927 -3.883" Properties=species:S:1:pos:R:3 pbc="T T T"
Cr 0.000 0.000 0.000
Cu 0.000 0.000 3.885
Cu 0.000 1.927 1.940
Au 1.921 0.000 1.943
```

DFT total energy: -5.136 eV per atom
Symmetry: Imm2, No. 44
Calculated formation energy: 0.137 eV per atom

---

First-principles (GGA-PBE) data for a relaxed B2SbPN crystal, as listed in Alexandria.

```
5
Lattice="3.751 0.000 0.000 0.000 3.751 0.000 0.000 0.000 4.694" Properties=species:S:1:pos:R:3 pbc="T T T"
B 0.000 1.875 0.000
B 1.875 0.000 0.000
Sb 0.000 0.000 2.347
P 1.875 1.875 2.347
N 0.000 0.000 0.000
```

Formation energy (no corrections): 8.5 eV per formula unit
DFT total energy: -4.537 eV per atom
Symmetry: P4/mmm, No. 123